# 1
# Mg2Ta2Au

A crystal of Mg2Ta2Au relaxed with PBEsol (SCAN, Alexandria).

Cell lengths 3.707, 3.707, 14.338 Å; angles 90.00, 90.00, 90.00 degrees
Space group I4/mmm (No. 139)
Inequivalent atoms, fractional coordinates:
Mg (0.000, 0.500, 0.250)
Ta (0.000, 0.000, 0.084)
Au (0.000, 0.000, 0.500)

## Properties
Total DFT energy (no corrections)   -208.67 eV/f.u.
Magnetic moment   0.0 μB/f.u.
Calculated volume   98.50 Å³/f.u.

=====

# 2
# NaSrBO3

A crystal of NaSrBO3 relaxed with PBEsol (SCAN, Alexandria).

Cell lengths 5.315, 9.216, 6.034 Å; angles 90.00, 100.81, 90.00 degrees
Space group P2_1/c (No. 14)
Inequivalent atoms, fractional coordinates:
Na (0.243, 0.240, 0.464)
Sr (0.254, 0.586, 0.285)
B (0.253, 0.581, 0.762)
O (0.073, 0.645, 0.869)
O (0.225, 0.061, 0.185)
O (0.461, 0.658, 0.717)

## Properties
Total DFT energy (no corrections)   -69.35 eV/f.u.
Magnetic moment   0.0 μB/f.u.
Energy relative to the elements, uncorrected   -2.789 eV per atom
Calculated volume   72.57 Å³/f.u.

=====

# 3
# Ti3NiS6

A crystal of Ti3NiS6 relaxed with PBEsol (SCAN, Alexandria).

Cell lengths 5.7609, 5.7609, 11.1273 Å; angles 90.00, 90.00, 120.00 degrees
Space group P-31c (No. 163)
Inequivalent atoms, fractional coordinates:
Ti (0.0000, 0.0000, 0.0000)
Ti (0.3333, 0.6667, 0.0044)
Ni (0.3333, 0.6667, 0.7500)
S (0.0015, 0.3330, 0.6311)

## Properties
Total DFT energy (no corrections)   -135.56 eV/f.u.
Magnetic moment   0.0 μB/f.u.
Energy relative to the elements, uncorrected   -1.353 eV per atom
Calculated volume   159.91 Å³/f.u.

=====

# 4
# TlHg2Pd2

A crystal of TlHg2Pd2 relaxed with PBEsol (SCAN, Alexandria).

Cell lengths 7.275, 7.275, 3.617 Å; angles 90.00, 90.00, 90.00 degrees
Space group P4/mbm (No. 127)
Inequivalent atoms, fractional coordinates:
Tl (0.000, 0.000, 0.000)
Hg (0.154, 0.346, 0.500)
Pd (0.143, 0.643, 0.000)

## Properties
Total DFT energy (no corrections)   -274.86 eV/f.u.
Magnetic moment   0.0 μB/f.u.
Calculated volume   95.70 Å³/f.u.

=====

# 5
# SrTeSe

A crystal of SrTeSe relaxed with PBEsol (SCAN, Alexandria).

Cell lengths 7.377, 7.377, 7.377 Å; angles 90.00, 90.00, 90.00 degrees
Space group F-43m (No. 216)
Inequivalent atoms, fractional coordinates:
Sr (0.000, 0.000, 0.000)
Te (0.250, 0.250, 0.250)
Se (0.250, 0.250, 0.750)

## Properties
Total DFT energy (no corrections)   -82.18 eV/f.u.
Magnetic moment   0.0 μB/f.u.
Energy relative to the elements, uncorrected   -0.857 eV per atom
Calculated volume   100.38 Å³/f.u.

=====

# 6
# Cr2Re3

A crystal of Cr2Re3 relaxed with PBEsol (SCAN, Alexandria).

Cell lengths 9.078, 9.078, 4.905 Å; angles 90.00, 90.00, 90.00 degrees
Space group P4_2/mnm (No. 136)
Inequivalent atoms, fractional coordinates:
Cr (0.065, 0.256, 0.000)
Cr (0.097, 0.097, 0.500)
Re (0.000, 0.000, 0.000)
Re (0.035, 0.362, 0.500)
Re (0.187, 0.813, 0.252)

## Properties
Total DFT energy (no corrections)   -249.98 eV/f.u.
Magnetic moment   0.0 μB/f.u.
Calculated volume   67.37 Å³/f.u.